Record 1
# PBE-GGA NiCl3, relaxed
# * raw total energy: -3.200 eV/atom
data_NiCl3
_chemical_formula_sum 'Ni4 Cl12'
_symmetry_space_group_name_H-M 'P 1'
_symmetry_Int_Tables_number 1
_cell_length_a 5.687
_cell_length_b 10.567
_cell_length_c 6.106
_cell_angle_alpha 90.00
_cell_angle_beta 90.00
_cell_angle_gamma 90.00
loop_
_symmetry_equiv_pos_as_xyz
'x,y,z'
loop_
_atom_site_label
_atom_site_fract_x
_atom_site_fract_y
_atom_site_fract_z
Cl1 0.500 0.000 0.452
Cl2 0.500 0.647 0.401
Cl3 0.000 0.353 0.108
Cl4 0.000 0.647 0.108
Cl5 0.000 0.000 0.039
Cl6 0.500 0.500 0.961
Cl7 0.000 0.147 0.599
Cl8 0.000 0.853 0.599
Cl9 0.000 0.500 0.548
Cl10 0.500 0.147 0.892
Cl11 0.500 0.353 0.401
Cl12 0.500 0.853 0.892
Ni1 0.750 0.000 0.745
Ni2 0.250 0.500 0.255
Ni3 0.250 0.000 0.745
Ni4 0.750 0.500 0.255

***

Record 2
# PBE-GGA NiCl3, relaxed
# * raw total energy: -3.219 eV/atom
data_NiCl3
_chemical_formula_sum 'Ni2 Cl6'
_symmetry_space_group_name_H-M 'P 1'
_symmetry_Int_Tables_number 1
_cell_length_a 5.897
_cell_length_b 5.897
_cell_length_c 5.920
_cell_angle_alpha 90.05
_cell_angle_beta 90.05
_cell_angle_gamma 119.92
loop_
_symmetry_equiv_pos_as_xyz
'x,y,z'
loop_
_atom_site_label
_atom_site_fract_x
_atom_site_fract_y
_atom_site_fract_z
Cl1 0.638 0.638 0.219
Cl2 0.000 0.361 0.219
Cl3 0.000 0.639 0.781
Cl4 0.639 0.000 0.781
Cl5 0.362 0.362 0.781
Cl6 0.361 0.000 0.219
Ni1 0.333 0.667 0.000
Ni2 0.667 0.333 0.000

***

Record 3
# PBE-GGA NiCl3, relaxed
# * raw total energy: -2.024 eV/atom
data_NiCl3
_chemical_formula_sum 'Ni1 Cl3'
_symmetry_space_group_name_H-M 'P 1'
_symmetry_Int_Tables_number 1
_cell_length_a 4.269
_cell_length_b 4.269
_cell_length_c 4.269
_cell_angle_alpha 90.00
_cell_angle_beta 90.00
_cell_angle_gamma 90.00
loop_
_symmetry_equiv_pos_as_xyz
'x,y,z'
loop_
_atom_site_label
_atom_site_fract_x
_atom_site_fract_y
_atom_site_fract_z
Cl1 0.000 0.500 0.500
Cl2 0.500 0.000 0.500
Cl3 0.500 0.500 0.000
Ni1 0.000 0.000 0.000

***

Record 4
# PBE-GGA NiCl3, relaxed
# * raw total energy: -2.453 eV/atom
data_NiCl3
_chemical_formula_sum 'Ni1 Cl3'
_symmetry_space_group_name_H-M 'P 1'
_symmetry_Int_Tables_number 1
_cell_length_a 6.853
_cell_length_b 6.853
_cell_length_c 6.853
_cell_angle_alpha 149.67
_cell_angle_beta 149.67
_cell_angle_gamma 43.42
loop_
_symmetry_equiv_pos_as_xyz
'x,y,z'
loop_
_atom_site_label
_atom_site_fract_x
_atom_site_fract_y
_atom_site_fract_z
Ni1 0.000 0.000 0.000
Cl1 0.250 0.750 0.500
Cl2 0.750 0.250 0.500
Cl3 0.500 0.500 0.000

***

Record 5
# PBE-GGA NiOsCl6, relaxed
# * raw total energy: -3.857 eV/atom
data_NiOsCl6
_chemical_formula_sum 'Ni1 Os1 Cl6'
_symmetry_space_group_name_H-M 'P 1'
_symmetry_Int_Tables_number 1
_cell_length_a 5.847
_cell_length_b 5.849
_cell_length_c 6.312
_cell_angle_alpha 62.45
_cell_angle_beta 62.43
_cell_angle_gamma 60.03
loop_
_symmetry_equiv_pos_as_xyz
'x,y,z'
loop_
_atom_site_label
_atom_site_fract_x
_atom_site_fract_y
_atom_site_fract_z
Ni1 0.000 0.000 0.000
Cl1 0.257 0.582 0.250
Cl2 0.418 0.089 0.749
Cl3 0.911 0.257 0.250
Cl4 0.743 0.418 0.750
Cl5 0.089 0.743 0.750
Cl6 0.582 0.911 0.251
Os1 0.500 0.500 0.500

***

Record 6
# PBE-GGA NiPCl, relaxed
# * raw total energy: -3.945 eV/atom
data_NiPCl
_chemical_formula_sum 'Ni3 P3 Cl3'
_symmetry_space_group_name_H-M 'P 1'
_symmetry_Int_Tables_number 1
_cell_length_a 3.836
_cell_length_b 6.459
_cell_length_c 6.459
_cell_angle_alpha 120.02
_cell_angle_beta 90.00
_cell_angle_gamma 90.00
loop_
_symmetry_equiv_pos_as_xyz
'x,y,z'
loop_
_atom_site_label
_atom_site_fract_x
_atom_site_fract_y
_atom_site_fract_z
Ni1 0.500 0.771 0.771
Ni2 0.500 0.000 0.229
Ni3 0.500 0.229 0.000
P1 0.500 0.667 0.333
P2 0.500 0.333 0.667
P3 0.000 0.000 0.000
Cl1 0.000 0.462 0.000
Cl2 0.000 0.538 0.538
Cl3 0.000 0.000 0.462